(1)
YHf2Fe, optimized geometry, DFT PBE-GGA; E above lowest polymorph = 0.000 eV/f.u.; E_form = 398 meV per atom; total magnetic moment = 0.1 μB/f.u.; SG = No. 216
1.0
-1.438 -4.508 -1.093
-4.483 -0.774 -1.700
-0.650 -1.284 -4.638
Fe Hf Y
1 2 1
Direct
0.500 0.500 0.500
0.000 0.000 0.000
0.750 0.750 0.750
0.250 0.250 0.250

(2)
CsRb3Cu2As2, optimized geometry, DFT PBE-GGA; SG = No. 6; electronic total energy = -2.867 eV/atom
1.0
6.616 0.000 0.000
0.000 6.381 0.000
-2.230 0.000 6.271
As Cs Cu Rb
2 1 2 3
Direct
0.279 0.000 0.268
0.722 0.500 0.727
0.014 0.000 0.677
0.497 0.250 0.501
0.497 0.750 0.501
0.675 0.000 0.010
0.990 0.500 0.324
0.325 0.500 0.992

(3)
RbErSO, optimized geometry, DFT PBE-GGA; E above lowest polymorph = 0.872 eV/f.u.; total magnetic moment = 0.0 μB/f.u.; SG = No. 29
1.0
-0.515 0.999 8.219
7.321 -5.612 1.141
3.364 4.324 -0.315
Er O Rb S
4 4 4 4
Direct
0.931 0.360 0.064
0.431 0.640 0.064
0.569 0.360 0.564
0.069 0.640 0.564
0.037 0.171 0.062
0.537 0.829 0.062
0.463 0.171 0.562
0.963 0.829 0.562
0.382 0.098 0.059
0.882 0.902 0.059
0.118 0.098 0.559
0.618 0.902 0.559
0.603 0.391 0.065
0.103 0.609 0.065
0.897 0.391 0.565
0.397 0.609 0.565

(4)
OsPtW, optimized geometry, DFT PBE-GGA; E above lowest polymorph = 0.000 eV/f.u.; E_form = 315 meV per atom; total magnetic moment = 0.0 μB/f.u.; SG = No. 216
1.0
0.000 2.995 2.995
2.995 0.000 2.995
2.995 2.995 0.000
Os Pt W
1 1 1
Direct
0.250 0.250 0.250
0.750 0.750 0.750
0.000 0.000 0.000

(5)
BeZnPtPb, optimized geometry, DFT PBE-GGA; E above lowest polymorph = 0.000 eV/f.u.; total magnetic moment = 0.0 μB/f.u.; SG = No. 216
1.0
0.000 3.232 3.232
3.232 0.000 3.232
3.232 3.232 0.000
Be Pb Pt Zn
1 1 1 1
Direct
0.750 0.750 0.750
0.000 0.000 0.000
0.500 0.500 0.500
0.250 0.250 0.250

(6)
K2HfF6, optimized geometry, DFT PBE-GGA; total magnetic moment = 0.0 μB/f.u.; SG = No. 186; electronic total energy = -5.938 eV/atom
1.0
-4.412 -0.778 3.368
-0.594 -0.480 -5.552
1.938 -8.649 0.541
F Hf K
12 2 4
Direct
0.503 0.007 0.130
0.503 0.497 0.130
0.993 0.497 0.130
0.158 0.316 0.383
0.158 0.842 0.383
0.684 0.842 0.383
0.007 0.503 0.630
0.497 0.503 0.630
0.497 0.993 0.630
0.316 0.158 0.883
0.842 0.158 0.883
0.842 0.684 0.883
0.333 0.667 0.493
0.667 0.333 0.993
0.000 0.000 0.148
0.667 0.333 0.383
0.000 0.000 0.648
0.333 0.667 0.883

(7)
BeAgOs2, optimized geometry, DFT PBE-GGA; total magnetic moment = 0.0 μB/f.u.; SG = No. 216; electronic total energy = -6.682 eV/atom
1.0
-0.467 -4.183 0.838
-3.383 -2.135 -1.553
0.537 -2.888 -3.129
Ag Be Os
1 1 2
Direct
0.250 0.250 0.250
0.500 0.500 0.500
0.000 0.000 0.000
0.750 0.750 0.750

(8)
BaNi, optimized geometry, DFT PBE-GGA; total magnetic moment = 0.0 μB/f.u.; SG = No. 225; electronic total energy = -3.426 eV/atom
1.0
-4.066 0.567 1.734
-2.704 3.139 -1.640
-3.605 -1.168 -2.345
Ba Ni
1 1
Direct
0.000 0.000 0.000
0.500 0.500 0.500

(9)
TlGeAu3S4, optimized geometry, DFT PBE-GGA; E above lowest polymorph = 1.377 eV/f.u.; SG = No. 215
1.0
-4.996 -2.435 -2.875
2.180 -5.763 1.091
-3.072 -0.130 5.449
Au Ge S Tl
3 1 4 1
Direct
0.500 0.000 0.000
0.000 0.500 0.000
0.000 0.000 0.500
0.000 0.000 0.000
0.790 0.210 0.210
0.210 0.790 0.210
0.210 0.210 0.790
0.790 0.790 0.790
0.500 0.500 0.500

(10)
Zr2W, optimized geometry, DFT PBE-GGA; E above lowest polymorph = 0.478 eV/f.u.; E_form = 302 meV per atom; total magnetic moment = 0.0 μB/f.u.; SG = No. 63
1.0
16.713 0.000 0.000
0.000 2.854 0.000
0.000 0.000 5.072
W Zr
4 8
Direct
0.347 0.000 0.000
0.847 0.500 0.000
0.098 0.000 0.500
0.598 0.500 0.500
0.011 0.000 0.000
0.678 0.000 0.000
0.178 0.500 0.000
0.511 0.500 0.000
0.434 0.000 0.500
0.767 0.000 0.500
0.267 0.500 0.500
0.934 0.500 0.500

(11)
TlAu15, optimized geometry, DFT PBE-GGA; E above lowest polymorph = 0.000 eV/f.u.; SG = No. 49
1.0
-0.638 0.132 -4.088
-7.809 -2.458 1.140
-13.295 43.865 3.494
Au Tl
60 4
Direct
0.250 0.115 0.161
0.750 0.885 0.161
0.250 0.384 0.201
0.750 0.616 0.201
0.750 0.133 0.206
0.250 0.867 0.206
0.750 0.379 0.249
0.250 0.621 0.249
0.250 0.127 0.250
0.750 0.873 0.250
0.250 0.376 0.295
0.750 0.624 0.295
0.750 0.126 0.296
0.250 0.874 0.296
0.250 0.125 0.341
0.750 0.875 0.341
0.750 0.375 0.341
0.250 0.625 0.341
0.750 0.125 0.386
0.250 0.875 0.386
0.250 0.374 0.387
0.750 0.626 0.387
0.750 0.375 0.432
0.250 0.625 0.432
0.250 0.125 0.432
0.750 0.875 0.432
0.250 0.375 0.477
0.750 0.625 0.477
0.750 0.125 0.477
0.250 0.875 0.477
0.250 0.125 0.523
0.750 0.875 0.523
0.750 0.375 0.523
0.250 0.625 0.523
0.750 0.125 0.568
0.250 0.875 0.568
0.250 0.375 0.568
0.750 0.625 0.568
0.750 0.374 0.613
0.250 0.626 0.613
0.250 0.125 0.614
0.750 0.875 0.614
0.250 0.375 0.659
0.750 0.625 0.659
0.750 0.125 0.659
0.250 0.875 0.659
0.250 0.126 0.704
0.750 0.874 0.704
0.750 0.376 0.705
0.250 0.624 0.705
0.750 0.127 0.750
0.250 0.873 0.750
0.250 0.379 0.751
0.750 0.621 0.751
0.250 0.133 0.794
0.750 0.867 0.794
0.750 0.384 0.799
0.250 0.616 0.799
0.750 0.115 0.839
0.250 0.885 0.839
0.750 0.342 0.141
0.250 0.658 0.141
0.250 0.342 0.859
0.750 0.658 0.859

(12)
DyEr2Al3CoCu2, optimized geometry, DFT PBE-GGA; total magnetic moment = 0.0 μB/f.u.; SG = No. 38; electronic total energy = -4.847 eV/atom
1.0
-3.423 1.119 1.796
2.442 -2.251 6.058
1.113 6.534 -1.949
Al Co Cu Dy Er
3 1 2 1 2
Direct
0.500 0.999 0.228
0.500 0.772 0.772
0.500 0.228 0.999
0.000 0.998 0.998
0.500 0.669 0.333
0.500 0.333 0.669
0.000 0.411 0.411
0.000 0.591 0.000
0.000 0.000 0.591